# TeN2 | Alexandria | GGA-PBEsol | relaxed
data_TeN2
_chemical_formula_sum 'Te4 N8'
_cell_length_a 3.9933
_cell_length_b 3.9933
_cell_length_c 10.0844
_cell_angle_alpha 90.00
_cell_angle_beta 90.00
_cell_angle_gamma 90.00
_space_group_name_H-M_alt 'I 41/a m d'
_space_group_IT_number 141
loop_
_space_group_symop_operation_xyz
'x,y,z'
'-x,-y,-z'
'-y+1/4,x+3/4,z+1/4'
'y+1/4,-x+3/4,-z+1/4'
'-x+1/2,-y,z+1/2'
'x+1/2,y,-z+1/2'
'y+1/4,-x+1/4,z+3/4'
'-y+1/4,x+1/4,-z+3/4'
'x,-y,-z'
'-x,y,z'
'-y+1/4,-x+1/4,-z+3/4'
'y+1/4,x+1/4,z+3/4'
'-x+1/2,y,-z+1/2'
'x+1/2,-y,z+1/2'
'y+1/4,x+3/4,-z+1/4'
'-y+1/4,-x+3/4,z+1/4'
'x+1/2,y+1/2,z+1/2'
'-x+1/2,-y+1/2,-z+1/2'
'-y+3/4,x+1/4,z+3/4'
'y+3/4,-x+1/4,-z+3/4'
'-x,-y+1/2,z'
'x,y+1/2,-z'
'y+3/4,-x+3/4,z+1/4'
'-y+3/4,x+3/4,-z+1/4'
'x+1/2,-y+1/2,-z+1/2'
'-x+1/2,y+1/2,z+1/2'
'-y+3/4,-x+3/4,-z+1/4'
'y+3/4,x+3/4,z+1/4'
'-x,y+1/2,-z'
'x,-y+1/2,z'
'y+3/4,x+1/4,-z+3/4'
'-y+3/4,-x+1/4,z+3/4'
loop_
_atom_site_label
_atom_site_type_symbol
_atom_site_fract_x
_atom_site_fract_y
_atom_site_fract_z
Te1 Te 0.0000 0.2500 0.3750
N1 N 0.0000 0.2500 0.1741
# total DFT energy (no corrections)	-5.7189	eV/atom
# uncorrected formation energy	1.14	eV per atom

=====

# TiTlTeN2 | Alexandria | GGA-PBEsol | relaxed
data_TiTlTeN2
_chemical_formula_sum 'Ti1 Tl1 Te1 N2'
_cell_length_a 4.0144
_cell_length_b 4.0144
_cell_length_c 5.6634
_cell_angle_alpha 90.00
_cell_angle_beta 90.00
_cell_angle_gamma 90.00
_space_group_name_H-M_alt 'P 4/m m m'
_space_group_IT_number 123
_space_group_name_Hall '-P 4 2'
loop_
_atom_site_label
_atom_site_type_symbol
_atom_site_fract_x
_atom_site_fract_y
_atom_site_fract_z
Ti1 Ti 0.0000 0.0000 0.0000
Tl1 Tl 0.5000 0.5000 0.5000
Te1 Te 0.0000 0.0000 0.5000
N1 N 0.0000 0.5000 0.0000
# total DFT energy (no corrections)	-6.0296	eV/atom
# uncorrected formation energy	0.28	eV per atom

=====

# YTiTe2N | Alexandria | GGA-PBEsol | relaxed
data_YTiTe2N
_chemical_formula_sum 'Y1 Ti1 Te2 N1'
_cell_length_a 5.4309
_cell_length_b 5.4309
_cell_length_c 3.7899
_cell_angle_alpha 90.00
_cell_angle_beta 90.00
_cell_angle_gamma 90.00
_space_group_name_H-M_alt 'P 4/m m m'
_space_group_IT_number 123
_space_group_name_Hall '-P 4 2'
loop_
_atom_site_label
_atom_site_type_symbol
_atom_site_fract_x
_atom_site_fract_y
_atom_site_fract_z
Y1 Y 0.0000 0.0000 0.0000
Ti1 Ti 0.5000 0.5000 0.5000
Te1 Te 0.0000 0.5000 0.5000
N1 N 0.5000 0.5000 0.0000
# total DFT energy (no corrections)	-6.8219	eV/atom
# uncorrected formation energy	-0.68	eV per atom

=====

# TlTe2N | Alexandria | GGA-PBEsol | relaxed
data_TlTe2N
_chemical_formula_sum 'Tl4 Te8 N4'
_cell_length_a 7.1247
_cell_length_b 7.1247
_cell_length_c 8.0634
_cell_angle_alpha 90.00
_cell_angle_beta 90.00
_cell_angle_gamma 90.00
_space_group_name_H-M_alt 'I -4 2 d'
_space_group_IT_number 122
_space_group_name_Hall 'I -4 2bw'
loop_
_atom_site_label
_atom_site_type_symbol
_atom_site_fract_x
_atom_site_fract_y
_atom_site_fract_z
Tl1 Tl 0.0000 0.0000 0.0000
Te1 Te 0.1302 0.2500 0.6250
N1 N 0.0000 0.0000 0.5000
# offset from the most stable computed form	0	meV/atom
# total DFT energy (no corrections)	-4.0562	eV/atom
# uncorrected formation energy	0.50	eV per atom

=====

# TlTe2N | Alexandria | GGA-PBEsol | relaxed
data_TlTe2N
_chemical_formula_sum 'Tl3 Te6 N3'
_cell_length_a 3.2884
_cell_length_b 3.2884
_cell_length_c 29.1908
_cell_angle_alpha 90.00
_cell_angle_beta 90.00
_cell_angle_gamma 120.00
_space_group_name_H-M_alt 'R -3 m'
_space_group_IT_number 166
_space_group_name_Hall '-R 3 2"'
loop_
_atom_site_label
_atom_site_type_symbol
_atom_site_fract_x
_atom_site_fract_y
_atom_site_fract_z
Tl1 Tl 0.0000 0.0000 0.0000
Te1 Te 0.0000 0.0000 0.1121
N1 N 0.0000 0.0000 0.5000
# offset from the most stable computed form	219	meV/atom
# total DFT energy (no corrections)	-3.8373	eV/atom
# uncorrected formation energy	0.71	eV per atom

=====

# Y3TeN | Alexandria | GGA-PBEsol | relaxed
data_Y3TeN
_chemical_formula_sum 'Y3 Te1 N1'
_cell_length_a 4.7321
_cell_length_b 4.7321
_cell_length_c 4.7321
_cell_angle_alpha 90.00
_cell_angle_beta 90.00
_cell_angle_gamma 90.00
_space_group_name_H-M_alt 'P m -3 m'
_space_group_IT_number 221
_space_group_name_Hall '-P 4 2 3'
loop_
_atom_site_label
_atom_site_type_symbol
_atom_site_fract_x
_atom_site_fract_y
_atom_site_fract_z
Y1 Y 0.0000 0.0000 0.5000
Te1 Te 0.5000 0.5000 0.5000
N1 N 0.0000 0.0000 0.0000
# total DFT energy (no corrections)	-7.5678	eV/atom
# uncorrected formation energy	-1.06	eV per atom

=====

# Y3Te3N | Alexandria | GGA-PBEsol | relaxed
data_Y3Te3N
_chemical_formula_sum 'Y12 Te12 N4'
_cell_length_a 8.0252
_cell_length_b 11.8329
_cell_length_c 8.5257
_cell_angle_alpha 90.00
_cell_angle_beta 109.51
_cell_angle_gamma 90.00
_space_group_name_H-M_alt 'P 1 21/c 1'
_space_group_IT_number 14
_space_group_name_Hall '-P 2ybc'
loop_
_atom_site_label
_atom_site_type_symbol
_atom_site_fract_x
_atom_site_fract_y
_atom_site_fract_z
Y1 Y 0.0995 0.0211 0.3586
Y2 Y 0.2671 0.7091 0.1588
Y3 Y 0.3433 0.0887 0.7945
Te1 Te 0.0116 0.2355 0.6866
Te2 Te 0.2694 0.5216 0.5799
Te3 Te 0.4532 0.1889 0.5128
N1 N 0.1743 0.5345 0.1234
# total DFT energy (no corrections)	-7.2173	eV/atom
# uncorrected formation energy	-1.56	eV per atom

=====

# YTe2N2 | Alexandria | GGA-PBEsol | relaxed
data_YTe2N2
_chemical_formula_sum 'Y1 Te2 N2'
_cell_length_a 5.9124
_cell_length_b 5.9124
_cell_length_c 4.2968
_cell_angle_alpha 90.00
_cell_angle_beta 90.00
_cell_angle_gamma 90.00
_space_group_name_H-M_alt 'P 4/m m m'
_space_group_IT_number 123
_space_group_name_Hall '-P 4 2'
loop_
_atom_site_label
_atom_site_type_symbol
_atom_site_fract_x
_atom_site_fract_y
_atom_site_fract_z
Y1 Y 0.0000 0.0000 0.0000
Te1 Te 0.0000 0.5000 0.0000
N1 N 0.0000 0.0000 0.5000
N2 N 0.5000 0.5000 0.5000
# total DFT energy (no corrections)	-4.8035	eV/atom
# uncorrected formation energy	1.38	eV per atom